This record from Alexandria via LeMat-Bulk describes a relaxed structure of ZrCoN2F. The functional is GGA+U.

abc: 4.237 4.237 4.088
angles: 90.00 90.00 90.00
Last column: magnetic moment on the atom in μB.
Positions (direct):
N: 0.500 0.000 0.000  0.17
N: 0.000 0.500 0.000  0.17
Zr: 0.000 0.000 0.000  0.03
F: 0.000 0.000 0.500  0.00
Co: 0.500 0.500 0.500  2.66

Values from the calculation:
Fermi-level density of states in states/eV per cell: 1.5
Spin magnetization in μB/atom: 0.6373
Space group: P4/mmm, No. 123
Final energy in eV per formula unit: -33.4